(1)
DFT (GGA-PBE) results for an optimized crystal structure of CePaAs.

Magnetic moment: 0.00 μB per cell
Uncorrected energy: -21.24 eV/cell
Calculated volume: 22.64 Å³/atom

Lattice parameters (Å, degrees): 5.480 5.480 5.480 139.80 139.80 58.16
Sites, in units of the cell vectors:
Ce 0.000 0.000 0.000
Pa 0.361 0.361 0.000
As 0.682 0.682 0.000



(2)
DFT (GGA-PBE) results for an optimized crystal structure of Co2SiBi2.

Magnetic moment: 3.46 μB per cell
Uncorrected energy: -47.39 eV/cell
Calculated volume: 19.67 Å³/atom

Lattice parameters (Å, degrees): 7.894 7.894 3.156 90.00 90.00 90.00
Sites, in units of the cell vectors:
Co 0.123 0.377 0.000
Co 0.377 0.877 0.000
Co 0.623 0.123 0.000
Co 0.877 0.623 0.000
Si 0.000 0.000 0.500
Si 0.500 0.500 0.500
Bi 0.165 0.665 0.500
Bi 0.335 0.165 0.500
Bi 0.665 0.835 0.500
Bi 0.835 0.335 0.500



(3)
DFT (GGA-PBE) results for an optimized crystal structure of Ni5C4.

Magnetic moment: 0.02 μB per cell
Uncorrected energy: -115.57 eV/cell
Calculated volume: 8.68 Å³/atom

Lattice parameters (Å, degrees): 5.567 5.567 5.820 90.00 90.00 120.00
Sites, in units of the cell vectors:
Ni 0.000 0.252 0.250
Ni 0.000 0.748 0.750
Ni 0.252 0.000 0.250
Ni 0.252 0.252 0.750
Ni 0.333 0.667 0.000
Ni 0.333 0.667 0.500
Ni 0.667 0.333 0.000
Ni 0.667 0.333 0.500
Ni 0.748 0.000 0.750
Ni 0.748 0.748 0.250
C 0.000 0.000 0.000
C 0.000 0.000 0.500
C 0.000 0.413 0.750
C 0.000 0.587 0.250
C 0.413 0.000 0.750
C 0.413 0.413 0.250
C 0.587 0.000 0.250
C 0.587 0.587 0.750



(4)
DFT (GGA-PBE) results for an optimized crystal structure of LaAl2Fe2Ge.

Magnetic moment: 2.83 μB per cell
Uncorrected energy: -34.99 eV/cell
Calculated volume: 18.94 Å³/atom

Lattice parameters (Å, degrees): 4.418 4.418 5.824 90.00 90.00 90.00
Sites, in units of the cell vectors:
La 0.000 0.000 0.000
Al 0.500 0.500 0.256
Al 0.500 0.500 0.744
Fe 0.000 0.500 0.500
Fe 0.500 0.000 0.500
Ge 0.000 0.000 0.500



(5)
DFT (GGA-PBE) results for an optimized crystal structure of RuPbCl2.

Magnetic moment: 0.00 μB per cell
Uncorrected energy: -30.54 eV/cell
Calculated volume: 27.43 Å³/atom

Lattice parameters (Å, degrees): 7.211 7.211 7.211 129.19 129.19 74.71
Sites, in units of the cell vectors:
Ru 0.000 0.000 0.000
Ru 0.750 0.250 0.500
Pb 0.250 0.750 0.500
Pb 0.500 0.500 0.000
Cl 0.037 0.625 0.912
Cl 0.375 0.287 0.412
Cl 0.713 0.125 0.088
Cl 0.875 0.963 0.588



(6)
DFT (GGA-PBE) results for an optimized crystal structure of CoGeN2.

Magnetic moment: 1.86 μB per cell
Uncorrected energy: -26.41 eV/cell
Calculated volume: 10.91 Å³/atom

Lattice parameters (Å, degrees): 6.009 6.009 6.009 28.49 28.49 28.49
Sites, in units of the cell vectors:
Co 0.000 0.000 0.000
Ge 0.500 0.500 0.500
N 0.105 0.105 0.105
N 0.895 0.895 0.895



(7)
DFT (GGA-PBE) results for an optimized crystal structure of Rb3Pm2MgTe6.

Magnetic moment: 0.00 μB per cell
Uncorrected energy: -46.68 eV/cell
Calculated volume: 38.38 Å³/atom

Lattice parameters (Å, degrees): 7.837 7.837 9.052 98.32 98.32 120.06
Sites, in units of the cell vectors:
Rb 0.000 0.000 0.000
Rb 0.330 0.670 0.000
Rb 0.670 0.330 0.000
Pm 0.166 0.834 0.500
Pm 0.834 0.166 0.500
Mg 0.500 0.500 0.500
Te 0.111 0.434 0.301
Te 0.244 0.244 0.701
Te 0.434 0.111 0.301
Te 0.566 0.889 0.699
Te 0.756 0.756 0.299
Te 0.889 0.566 0.699



(8)
DFT (GGA-PBE) results for an optimized crystal structure of CaZnCl2.

Magnetic moment: 0.00 μB per cell
Uncorrected energy: -11.59 eV/cell
Calculated volume: 23.37 Å³/atom

Lattice parameters (Å, degrees): 5.963 5.963 5.963 138.12 138.12 60.71
Sites, in units of the cell vectors:
Ca 0.000 0.000 0.000
Zn 0.750 0.250 0.500
Cl 0.250 0.750 0.500
Cl 0.500 0.500 0.000



Number 8 is which compound? CaZnCl2



Repeat the sixth record exactly.
DFT (GGA-PBE) results for an optimized crystal structure of CoGeN2.

Magnetic moment: 1.86 μB per cell
Uncorrected energy: -26.41 eV/cell
Calculated volume: 10.91 Å³/atom

Lattice parameters (Å, degrees): 6.009 6.009 6.009 28.49 28.49 28.49
Sites, in units of the cell vectors:
Co 0.000 0.000 0.000
Ge 0.500 0.500 0.500
N 0.105 0.105 0.105
N 0.895 0.895 0.895



Repeat the third record exactly.
DFT (GGA-PBE) results for an optimized crystal structure of Ni5C4.

Magnetic moment: 0.02 μB per cell
Uncorrected energy: -115.57 eV/cell
Calculated volume: 8.68 Å³/atom

Lattice parameters (Å, degrees): 5.567 5.567 5.820 90.00 90.00 120.00
Sites, in units of the cell vectors:
Ni 0.000 0.252 0.250
Ni 0.000 0.748 0.750
Ni 0.252 0.000 0.250
Ni 0.252 0.252 0.750
Ni 0.333 0.667 0.000
Ni 0.333 0.667 0.500
Ni 0.667 0.333 0.000
Ni 0.667 0.333 0.500
Ni 0.748 0.000 0.750
Ni 0.748 0.748 0.250
C 0.000 0.000 0.000
C 0.000 0.000 0.500
C 0.000 0.413 0.750
C 0.000 0.587 0.250
C 0.413 0.000 0.750
C 0.413 0.413 0.250
C 0.587 0.000 0.250
C 0.587 0.587 0.750